Record 1
The following is a DFT calculation (GGA-PBE) of a geometry-optimized SrAgPd structure.

```
SrAgPd
1.0
0.853 -1.222 4.730
-2.673 -3.577 2.158
2.108 -4.353 1.094
Pd Ag Sr
1 1 1
direct
0.750 0.750 0.750 Pd
0.250 0.250 0.250 Ag
0.000 0.000 0.000 Sr
```

Properties
- electronic total energy (eV/atom) = -3.0603
- relative energy among the computed polymorphs (meV/atom) = 460.7
- space-group type = No. 216

Record 2
The following is a DFT calculation (GGA-PBE) of a geometry-optimized MgNi3B2 structure.

```
MgNi3B2
1.0
4.884 0.000 0.000
-2.442 4.229 0.000
0.000 0.000 8.776
Ni B Mg
9 6 3
direct
0.500 0.500 0.542 Ni
0.000 0.500 0.458 Ni
0.500 0.000 0.209 Ni
0.500 0.500 0.124 Ni
0.500 0.000 0.500 Ni
0.000 0.500 0.876 Ni
0.500 0.500 0.833 Ni
0.500 0.000 0.791 Ni
0.000 0.500 0.167 Ni
0.611 0.222 0.000 B
0.222 0.611 0.667 B
0.389 0.778 0.000 B
0.611 0.389 0.333 B
0.389 0.611 0.333 B
0.778 0.389 0.667 B
0.000 0.000 0.333 Mg
0.000 0.000 0.667 Mg
0.000 0.000 0.000 Mg
```

Properties
- electronic total energy (eV/atom) = -5.6546
- space-group type = No. 180

Record 3
The following is a DFT calculation (GGA-PBE) of a geometry-optimized TbNdNO structure.

```
TbNdNO
1.0
4.075 0.000 0.000
0.000 5.007 0.000
0.000 0.000 7.034
Tb Nd O N
2 2 2 2
direct
0.000 0.939 0.666 Tb
0.000 0.439 0.334 Tb
0.500 0.938 0.165 Nd
0.500 0.438 0.835 Nd
0.500 0.938 0.811 O
0.500 0.438 0.189 O
0.000 0.939 0.344 N
0.000 0.439 0.657 N
```

Properties
- electronic total energy (eV/atom) = -7.8007
- relative energy among the computed polymorphs (meV/atom) = 0.0
- space-group type = No. 26

Record 4
The following is a DFT calculation (GGA-PBE) of a geometry-optimized ZnCd structure.

```
ZnCd
1.0
4.651 0.000 0.000
0.000 8.201 0.000
0.000 0.000 8.328
Cd Zn
8 8
direct
0.388 0.310 0.088 Cd
0.888 0.190 0.912 Cd
0.112 0.690 0.588 Cd
0.888 0.310 0.412 Cd
0.612 0.690 0.912 Cd
0.112 0.810 0.088 Cd
0.388 0.190 0.588 Cd
0.612 0.810 0.412 Cd
0.611 0.492 0.655 Zn
0.389 0.508 0.345 Zn
0.111 0.008 0.345 Zn
0.389 0.992 0.845 Zn
0.111 0.492 0.845 Zn
0.889 0.508 0.155 Zn
0.889 0.992 0.655 Zn
0.611 0.008 0.155 Zn
```

Properties
- formation energy from the elements (eV per formula unit) = 0.202
- electronic total energy (eV/atom) = -0.9792
- space-group type = No. 61

Record 5
The following is a DFT calculation (GGA-PBE) of a geometry-optimized In3W structure.

```
In3W
1.0
-0.702 6.846 1.488
-5.687 0.316 -4.139
-4.658 -1.838 6.259
In W
12 4
direct
0.000 0.500 0.000 In
0.672 0.328 0.248 In
0.500 0.000 0.500 In
0.328 0.672 0.248 In
0.328 0.672 0.752 In
0.672 0.328 0.752 In
0.828 0.828 0.748 In
0.000 0.500 0.500 In
0.172 0.172 0.748 In
0.172 0.172 0.252 In
0.828 0.828 0.252 In
0.500 0.000 0.000 In
0.872 0.128 0.500 W
0.128 0.872 0.500 W
0.372 0.372 0.000 W
0.628 0.628 0.000 W
```

Properties
- electronic total energy (eV/atom) = -5.0944
- space-group type = No. 136

Record 6
The following is a DFT calculation (GGA-PBE) of a geometry-optimized ZrPH structure.

```
ZrPH
1.0
-2.468 0.937 -2.400
3.037 -1.534 -1.071
-1.495 -3.169 0.300
Zr P H
1 1 1
direct
0.667 0.333 0.000 Zr
0.333 0.667 0.500 P
0.000 0.000 0.000 H
```

Properties
- electronic total energy (eV/atom) = -6.8000
- space-group type = No. 187

Record 7
The following is a DFT calculation (GGA-PBE) of a geometry-optimized LaNdPt structure.

```
LaNdPt
1.0
-3.806 -1.615 -2.597
-4.278 2.342 0.223
-1.590 2.552 -3.847
La Pt Nd
1 1 1
direct
0.000 0.000 0.000 La
0.750 0.750 0.750 Pt
0.250 0.250 0.250 Nd
```

Properties
- formation energy from the elements (eV per formula unit) = -0.531
- electronic total energy (eV/atom) = -5.4241
- space-group type = No. 216